# 1
VASP calculation (PBE-GGA) on a geometry-optimized Ir7Os5 structure.

Structure (CIF):
```
data_Ir7Os5
_chemical_formula_sum 'Ir14 Os10'
_symmetry_space_group_name_H-M 'C 1 2/m 1'
_symmetry_Int_Tables_number 12
_cell_length_a 13.089
_cell_length_b 4.185
_cell_length_c 9.265
_cell_angle_alpha 90.00
_cell_angle_beta 132.45
_cell_angle_gamma 90.00
loop_
_symmetry_equiv_pos_as_xyz
'x,y,z'
'-x,-y,-z'
'-x,y,-z'
'x,-y,z'
'x+1/2,y+1/2,z'
'-x+1/2,-y+1/2,-z'
'-x+1/2,y+1/2,-z'
'x+1/2,-y+1/2,z'
loop_
_atom_site_label
_atom_site_type_symbol
_atom_site_fract_x
_atom_site_fract_y
_atom_site_fract_z
Ir1 Ir 0.000 0.000 0.000
Ir2 Ir 0.037 0.500 0.244
Ir3 Ir 0.092 0.000 0.465
Ir4 Ir 0.187 0.500 0.148
Os1 Os 0.000 0.500 0.500
Os2 Os 0.211 0.500 0.888
Os3 Os 0.237 0.000 0.366
```

Computed properties:
- M_tot: 0.0 Bohr magnetons per cell
- Calculated formation energy: 0.398 eV per atom


# 2
VASP calculation (PBE-GGA) on a geometry-optimized Ir2Os structure.

Structure (CIF):
```
data_Ir2Os
_chemical_formula_sum 'Ir2 Os1'
_symmetry_space_group_name_H-M 'P 6/m m m'
_symmetry_Int_Tables_number 191
_symmetry_space_group_name_Hall '-P 6 2'
_cell_length_a 4.3616
_cell_length_b 4.3616
_cell_length_c 2.6957
_cell_angle_alpha 90.00
_cell_angle_beta 90.00
_cell_angle_gamma 120.00
loop_
_atom_site_label
_atom_site_type_symbol
_atom_site_fract_x
_atom_site_fract_y
_atom_site_fract_z
Ir1 Ir 0.3333 0.6667 0.0000
Os1 Os 0.0000 0.0000 0.5000
```

Computed properties:
- M_tot: 0.0 Bohr magnetons per cell
- Calculated formation energy: 0.328 eV per atom


# 3
VASP calculation (PBE-GGA) on a geometry-optimized Ir5Os structure.

Structure (CIF):
```
data_Ir5Os
_chemical_formula_sum 'Ir5 Os1'
_symmetry_space_group_name_H-M 'P 4/m m m'
_symmetry_Int_Tables_number 123
_symmetry_space_group_name_Hall '-P 4 2'
_cell_length_a 2.735
_cell_length_b 2.735
_cell_length_c 11.617
_cell_angle_alpha 90.00
_cell_angle_beta 90.00
_cell_angle_gamma 90.00
loop_
_atom_site_label
_atom_site_type_symbol
_atom_site_fract_x
_atom_site_fract_y
_atom_site_fract_z
Ir1 Ir 0.000 0.000 0.000
Ir2 Ir 0.000 0.000 0.337
Ir3 Ir 0.500 0.500 0.165
Os1 Os 0.500 0.500 0.500
```

Computed properties:
- M_tot: 0.0 Bohr magnetons per cell
- Calculated formation energy: 0.003 eV per atom


# 4
VASP calculation (PBE-GGA) on a geometry-optimized Ir2Os structure.

Structure (CIF):
```
data_Ir2Os
_chemical_formula_sum 'Ir16 Os8'
_symmetry_space_group_name_H-M 'I 41/a m d'
_symmetry_Int_Tables_number 141
_cell_length_a 3.864
_cell_length_b 3.864
_cell_length_c 23.237
_cell_angle_alpha 90.00
_cell_angle_beta 90.00
_cell_angle_gamma 90.00
loop_
_symmetry_equiv_pos_as_xyz
'x,y,z'
'-x,-y,-z'
'-y+1/4,x+3/4,z+1/4'
'y+1/4,-x+3/4,-z+1/4'
'-x+1/2,-y,z+1/2'
'x+1/2,y,-z+1/2'
'y+1/4,-x+1/4,z+3/4'
'-y+1/4,x+1/4,-z+3/4'
'x,-y,-z'
'-x,y,z'
'-y+1/4,-x+1/4,-z+3/4'
'y+1/4,x+1/4,z+3/4'
'-x+1/2,y,-z+1/2'
'x+1/2,-y,z+1/2'
'y+1/4,x+3/4,-z+1/4'
'-y+1/4,-x+3/4,z+1/4'
'x+1/2,y+1/2,z+1/2'
'-x+1/2,-y+1/2,-z+1/2'
'-y+3/4,x+1/4,z+3/4'
'y+3/4,-x+1/4,-z+3/4'
'-x,-y+1/2,z'
'x,y+1/2,-z'
'y+3/4,-x+3/4,z+1/4'
'-y+3/4,x+3/4,-z+1/4'
'x+1/2,-y+1/2,-z+1/2'
'-x+1/2,y+1/2,z+1/2'
'-y+3/4,-x+3/4,-z+1/4'
'y+3/4,x+3/4,z+1/4'
'-x,y+1/2,-z'
'x,-y+1/2,z'
'y+3/4,x+1/4,-z+3/4'
'-y+3/4,-x+1/4,z+3/4'
loop_
_atom_site_label
_atom_site_type_symbol
_atom_site_fract_x
_atom_site_fract_y
_atom_site_fract_z
Ir1 Ir 0.000 0.250 0.123
Ir2 Ir 0.000 0.250 0.791
Os1 Os 0.000 0.250 0.290
```

Computed properties:
- M_tot: 0.0 Bohr magnetons per cell
- Calculated formation energy: 0.031 eV per atom


# 5
VASP calculation (PBE-GGA) on a geometry-optimized IrOs structure.

Structure (CIF):
```
data_IrOs
_chemical_formula_sum 'Ir6 Os6'
_symmetry_space_group_name_H-M 'P 63/m'
_symmetry_Int_Tables_number 176
_symmetry_space_group_name_Hall '-P 6c'
_cell_length_a 9.6038
_cell_length_b 9.6038
_cell_length_c 3.9267
_cell_angle_alpha 90.00
_cell_angle_beta 90.00
_cell_angle_gamma 120.00
loop_
_atom_site_label
_atom_site_type_symbol
_atom_site_fract_x
_atom_site_fract_y
_atom_site_fract_z
Ir1 Ir 0.1067 0.6702 0.2500
Os1 Os 0.0599 0.3992 0.2500
```

Computed properties:
- M_tot: 0.0 Bohr magnetons per cell
- Calculated formation energy: 1.356 eV per atom


# 6
VASP calculation (PBE-GGA) on a geometry-optimized IrOs structure.

Structure (CIF):
```
data_IrOs
_chemical_formula_sum 'Ir6 Os6'
_symmetry_space_group_name_H-M 'R -3 m'
_symmetry_Int_Tables_number 166
_symmetry_space_group_name_Hall '-R 3 2"'
_cell_length_a 2.7290
_cell_length_b 2.7290
_cell_length_c 26.8324
_cell_angle_alpha 90.00
_cell_angle_beta 90.00
_cell_angle_gamma 120.00
loop_
_atom_site_label
_atom_site_type_symbol
_atom_site_fract_x
_atom_site_fract_y
_atom_site_fract_z
Ir1 Ir 0.0000 0.0000 0.1238
Os1 Os 0.0000 0.0000 0.3740
```

Computed properties:
- M_tot: 0.0 Bohr magnetons per cell
- Calculated formation energy: 0.033 eV per atom